No. 1
Computed, not measured: a relaxed structure of Sm2ScZn at the PBE level of DFT.

a = 5.2920 Å, b = 5.2920 Å, c = 5.2920 Å
α = 60.00°, β = 60.00°, γ = 60.00°
Atoms (fractional coordinates):
Sc 0.5000 0.5000 0.5000
Zn 0.0000 0.0000 0.0000
Sm 0.2500 0.2500 0.2500
Sm 0.7500 0.7500 0.7500

Summary:
Relative energy among the computed polymorphs = 0.1072 eV/atom
Space-group type = Fm-3m
Energy of formation = -0.013 eV per atom
V = 105 Å³/f.u.



No. 2
Computed, not measured: a relaxed structure of SmScZn17 at the PBE level of DFT.

a = 6.7666 Å, b = 6.7666 Å, c = 6.7666 Å
α = 82.66°, β = 82.66°, γ = 82.66°
Atoms (fractional coordinates):
Sm 0.6647 0.6647 0.6647
Sc 0.3324 0.3324 0.3324
Zn 0.2965 0.0033 0.6994
Zn 0.6994 0.2965 0.0033
Zn 0.0033 0.6994 0.2965
Zn 0.2965 0.6994 0.0033
Zn 0.0033 0.2965 0.6994
Zn 0.6994 0.0033 0.2965
Zn 0.3503 0.8462 0.3503
Zn 0.3503 0.3503 0.8462
Zn 0.8462 0.3503 0.3503
Zn 0.6428 0.1699 0.6428
Zn 0.6428 0.6428 0.1699
Zn 0.1699 0.6428 0.6428
Zn 0.9948 0.5043 0.9948
Zn 0.9948 0.9948 0.5043
Zn 0.5043 0.9948 0.9948
Zn 0.9040 0.9040 0.9040
Zn 0.1042 0.1042 0.1042

Summary:
Space-group type = R3m
Energy of formation = -0.207 eV per atom
V = 303 Å³/f.u.



No. 3
Computed, not measured: a relaxed structure of Sm3Sc2Zn2 at the PBE level of DFT.

a = 3.5661 Å, b = 3.4599 Å, c = 15.0156 Å
α = 90.00°, β = 83.18°, γ = 90.00°
Each line ends with the local moment (μB).
Atoms (fractional coordinates):
Sm 0.8726 0.0000 0.2547  0.08
Sm 0.0000 0.0000 0.0000  -0.02
Sm 0.1274 0.0000 0.7453  0.08
Sc 0.7059 0.5000 0.5882  0.27
Sc 0.2941 0.5000 0.4118  0.27
Zn 0.5633 0.5000 0.8735  0.00
Zn 0.4367 0.5000 0.1265  0.00

Summary:
Space-group type = Cmmm
Energy of formation = -0.056 eV per atom
V = 184 Å³/f.u.



No. 4
Computed, not measured: a relaxed structure of Sm2ScZn at the PBE level of DFT.

a = 3.6533 Å, b = 5.3631 Å, c = 5.3631 Å
α = 90.00°, β = 90.00°, γ = 90.00°
Atoms (fractional coordinates):
Sc 0.5000 0.5000 0.5000
Zn 0.5000 0.0000 0.0000
Sm 0.0000 0.0000 0.5000
Sm 0.0000 0.5000 0.0000

Summary:
Relative energy among the computed polymorphs = 0.0595 eV/atom
Space-group type = P4/mmm
Energy of formation = -0.061 eV per atom
V = 105 Å³/f.u.



No. 5
Computed, not measured: a relaxed structure of Sm4ScZn5 at the PBE level of DFT.

a = 3.5712 Å, b = 3.5712 Å, c = 18.0455 Å
α = 90.00°, β = 90.00°, γ = 90.00°
Atoms (fractional coordinates):
Sm 0.0000 0.0000 0.1905
Sm 0.0000 0.0000 0.3963
Sm 0.0000 0.0000 0.6037
Sm 0.0000 0.0000 0.8095
Sc 0.0000 0.0000 0.0000
Zn 0.5000 0.5000 0.0824
Zn 0.5000 0.5000 0.2943
Zn 0.5000 0.5000 0.5000
Zn 0.5000 0.5000 0.7057
Zn 0.5000 0.5000 0.9176

Summary:
Space-group type = P4/mmm
Energy of formation = -0.315 eV per atom
V = 230 Å³/f.u.



No. 6
Computed, not measured: a relaxed structure of SmZr3Sc6 at the PBE level of DFT.

a = 3.2147 Å, b = 11.9863 Å, c = 13.1063 Å
α = 100.02°, β = 90.00°, γ = 90.00°
Atoms (fractional coordinates):
Sm 0.7500 0.0359 0.7209
Sm 0.2500 0.9641 0.2791
Zr 0.7500 0.4280 0.9051
Zr 0.2500 0.5720 0.0949
Zr 0.7500 0.6200 0.5014
Zr 0.2500 0.3800 0.4986
Zr 0.7500 0.0756 0.0928
Zr 0.2500 0.9244 0.9072
Sc 0.7500 0.5012 0.6886
Sc 0.2500 0.4988 0.3114
Sc 0.7500 0.8048 0.0710
Sc 0.2500 0.1952 0.9290
Sc 0.7500 0.3465 0.1158
Sc 0.2500 0.6535 0.8842
Sc 0.7500 0.7181 0.2960
Sc 0.2500 0.2819 0.7040
Sc 0.7500 0.1396 0.4916
Sc 0.2500 0.8604 0.5084
Sc 0.7500 0.7757 0.7139
Sc 0.2500 0.2243 0.2861

Summary:
Space-group type = P2_1/m
Energy of formation = 0.072 eV per atom
V = 249 Å³/f.u.



No. 7
Computed, not measured: a relaxed structure of SmZr6Sc12 at the PBE level of DFT.

a = 8.0907 Å, b = 8.0907 Å, c = 8.0907 Å
α = 101.53°, β = 101.53°, γ = 101.53°
Each line ends with the local moment (μB).
Atoms (fractional coordinates):
Sm 0.0000 0.0000 0.0000  -0.02
Zr 0.7357 0.2314 0.2314  0.20
Zr 0.2314 0.2314 0.7357  0.20
Zr 0.2314 0.7357 0.2314  0.20
Zr 0.7686 0.7686 0.2643  0.20
Zr 0.2643 0.7686 0.7686  0.20
Zr 0.7686 0.2643 0.7686  0.20
Sc 0.8860 0.1140 0.5000  0.10
Sc 0.8364 0.5523 0.5523  0.09
Sc 0.5523 0.5523 0.8364  0.09
Sc 0.4477 0.1636 0.4477  0.09
Sc 0.4477 0.4477 0.1636  0.09
Sc 0.1636 0.4477 0.4477  0.09
Sc 0.1140 0.5000 0.8860  0.10
Sc 0.5000 0.8860 0.1140  0.10
Sc 0.1140 0.8860 0.5000  0.10
Sc 0.8860 0.5000 0.1140  0.10
Sc 0.5000 0.1140 0.8860  0.10
Sc 0.5523 0.8364 0.5523  0.09

Summary:
Space-group type = R-3m
Energy of formation = 0.467 eV per atom
V = 492 Å³/f.u.



No. 8
Computed, not measured: a relaxed structure of SmZrSc4 at the PBE level of DFT.

a = 5.0989 Å, b = 8.1461 Å, c = 7.8489 Å
α = 88.40°, β = 90.00°, γ = 108.24°
Atoms (fractional coordinates):
Sm 0.2472 0.4944 0.1579
Sm 0.7528 0.5056 0.8421
Zr 0.2280 0.4561 0.5854
Zr 0.7720 0.5439 0.4146
Sc 0.0603 0.1207 0.3554
Sc 0.0867 0.1733 0.8868
Sc 0.5828 0.1655 0.1442
Sc 0.5873 0.1747 0.6015
Sc 0.4127 0.8253 0.3985
Sc 0.4172 0.8345 0.8558
Sc 0.9133 0.8267 0.1132
Sc 0.9397 0.8793 0.6446

Summary:
Space-group type = C2/m
Energy of formation = 0.096 eV per atom
V = 155 Å³/f.u.